# 1
# LaTmS2O8, optimized geometry, DFT GGA-PBE
# spin magnetization	1.5	μB/f.u.
# E	-6.694	eV/atom
# D(E_F)	3.09	states/eV/cell
data_LaTmS2O8
_cell_length_a 5.5543
_cell_length_b 5.5543
_cell_length_c 7.0822
_cell_angle_alpha 90.00
_cell_angle_beta 90.00
_cell_angle_gamma 120.00
_space_group_name_H-M_alt 'P -3 m 1'
_space_group_IT_number 164
_space_group_name_Hall '-P 3 2"'
loop_
_atom_site_label
_atom_site_fract_x
_atom_site_fract_y
_atom_site_fract_z
La1 0.0000 0.0000 0.0000
Tm1 0.0000 0.0000 0.5000
S1 0.3333 0.6667 0.2410
O1 0.1652 0.3305 0.2813
O2 0.3333 0.6667 0.0295


# 2
# FeP2Os, optimized geometry, DFT GGA-PBE
# spin magnetization	0.7	μB/f.u.
# E	-7.682	eV/atom
# ΔE_f	-0.054	eV/atom
# energy above the lowest structure with this stoichiometry	0.79	eV per formula unit
# D(E_F)	9.34	states/eV/cell
data_FeP2Os
_cell_length_a 2.8359
_cell_length_b 2.8359
_cell_length_c 21.2997
_cell_angle_alpha 90.00
_cell_angle_beta 90.00
_cell_angle_gamma 120.00
_space_group_name_H-M_alt 'R -3 m'
_space_group_IT_number 166
_space_group_name_Hall '-R 3 2"'
loop_
_atom_site_label
_atom_site_fract_x
_atom_site_fract_y
_atom_site_fract_z
Fe1 0.0000 0.0000 0.0000
P1 0.0000 0.0000 0.2546
Os1 0.0000 0.0000 0.5000